# 1
Computed, not measured: a geometry-optimized HgPb2Br structure at the PBE-GGA level of DFT.

The calculation puts the formation energy (no corrections) at -0.1749 eV/atom. For the relative energy among the computed polymorphs, the calculation gives 27.1 meV per atom. The calculation puts the density of states at the Fermi level at 0.3865 states/eV/atom.

Unit cell a=7.2206 b=7.2206 c=5.2107 alpha=111.11 beta=111.11 gamma=29.17
With the nearest neighbours (Å) after each atom.
Sites, in units of the cell vectors:
Hg 0.0000 0.0000 0.0000  6 Pb 3.22-3.51
Pb 0.2685 0.2685 0.7415  4 Br 3.17-3.18, 2 Pb 3.45, 2 Hg 3.51
Pb 0.5425 0.5425 0.5413  4 Hg 3.22-3.23, 2 Pb 3.45
Br 0.7677 0.7677 0.2422  4 Pb 3.17-3.18

---

# 2
Computed, not measured: a geometry-optimized Zr2CdFe structure at the PBE-GGA level of DFT.

The calculation puts the density of states at the Fermi level at 0.9289 states/eV/atom. The value obtained for the formation energy is 39 meV/atom.

Unit cell a=4.7215 b=4.7215 c=3.4652 alpha=90.00 beta=90.00 gamma=90.00
With the nearest neighbours (Å) after each atom.
Sites, in units of the cell vectors:
Zr 0.0000 0.5000 0.0000  4 Fe 2.93, 4 Cd 2.93
Zr 0.5000 0.0000 0.0000  4 Fe 2.93, 4 Cd 2.93
Cd 0.0000 0.0000 0.5000  8 Zr 2.93
Fe 0.5000 0.5000 0.5000  8 Zr 2.93

---

# 3
Computed, not measured: a geometry-optimized Ba2Li4TlSb3 structure at the PBE-GGA level of DFT.

The calculation puts the formation energy (no corrections) at -0.7107 eV/atom. The calculation puts the density of states at the Fermi level at 0.4311 states/eV/atom.

Unit cell a=4.9056 b=4.9056 c=11.3539 alpha=90.00 beta=90.00 gamma=90.00
With the nearest neighbours (Å) after each atom.
Sites, in units of the cell vectors:
Ba 0.0000 0.5000 0.2339  8 Li 3.61-3.80, 6 Sb 3.66-3.89, 2 Tl 3.89
Ba 0.5000 0.0000 0.7661  8 Li 3.61-3.80, 6 Sb 3.66-3.89, 2 Tl 3.89
Li 0.0000 0.0000 0.0000  4 Sb 2.87
Li 0.0000 0.5000 0.6287  3 Sb 2.72-2.85, 2 Tl 2.85
Li 0.5000 0.0000 0.3713  3 Sb 2.72-2.85, 2 Tl 2.85
Li 0.5000 0.5000 0.0000  4 Sb 2.87
Tl 0.0000 0.0000 0.5000  4 Li 2.85
Sb 0.0000 0.5000 0.8684  5 Li 2.72-2.87
Sb 0.5000 0.0000 0.1316  5 Li 2.72-2.87
Sb 0.5000 0.5000 0.5000  4 Li 2.85

---

# 4
Computed, not measured: a geometry-optimized NdFe2H6 structure at the PBE-GGA level of DFT.

The total energy comes out at -4.9408 eV per atom. The calculation puts the density of states at the Fermi level at 0.3770 states/eV/atom.

Unit cell a=4.4125 b=4.4125 c=4.4026 alpha=90.00 beta=90.00 gamma=120.00
With the nearest neighbours (Å) after each atom.
Sites, in units of the cell vectors:
Nd 0.0000 0.0000 0.0000  12 H 2.46
Fe 0.3333 0.6667 0.5000  6 H 1.69
Fe 0.6667 0.3333 0.5000  6 H 1.69
H 0.0000 0.5000 0.2489  2 Fe 1.69
H 0.0000 0.5000 0.7511  2 Fe 1.69
H 0.5000 0.0000 0.2489  2 Fe 1.69
H 0.5000 0.0000 0.7511  2 Fe 1.69
H 0.5000 0.5000 0.2489  2 Fe 1.69
H 0.5000 0.5000 0.7511  2 Fe 1.69

---

# 5
Computed, not measured: a geometry-optimized Li2Tl3CdHg3 structure at the PBE-GGA level of DFT.

The calculation puts the density of states at the Fermi level at 0.2423 states/eV/atom. The value obtained for the formation energy is -90 meV/atom.

Unit cell a=8.7437 b=8.7437 c=3.3837 alpha=90.00 beta=90.00 gamma=120.00
With the nearest neighbours (Å) after each atom.
Sites, in units of the cell vectors:
Li 0.3333 0.6667 0.0000  3 Tl 3.06, 6 Hg 3.23, 2 Li 3.38
Li 0.6667 0.3333 0.0000  3 Tl 3.06, 6 Hg 3.23, 2 Li 3.38
Tl 0.0000 0.6979 0.0000  2 Li 3.06, 2 Cd 3.14, 2 Hg 3.28, 2 Tl 3.38
Tl 0.3021 0.3021 0.0000  2 Li 3.06, 2 Cd 3.14, 2 Hg 3.28, 2 Tl 3.38
Tl 0.6979 0.0000 0.0000  2 Li 3.06, 2 Cd 3.14, 2 Hg 3.28, 2 Tl 3.38
Cd 0.0000 0.0000 0.5000  6 Tl 3.14, 3 Hg 3.29, 2 Cd 3.38
Hg 0.0000 0.3761 0.5000  4 Li 3.23, 6 Tl 3.28-3.46, 1 Cd 3.29, 2 Hg 3.38
Hg 0.3761 0.0000 0.5000  4 Li 3.23, 6 Tl 3.28-3.46, 1 Cd 3.29, 2 Hg 3.38
Hg 0.6239 0.6239 0.5000  4 Li 3.23, 6 Tl 3.28-3.46, 1 Cd 3.29, 2 Hg 3.38

---

# 6
Computed, not measured: a geometry-optimized RbTlNF2 structure at the PBE-GGA level of DFT.

The calculation puts the formation energy (no corrections) at -0.9126 eV/atom. For the relative energy among the computed polymorphs, the calculation gives 0.0 meV per atom. The calculation puts the density of states at the Fermi level at 0.2653 states/eV/atom.

Unit cell a=4.8313 b=4.8313 c=4.1283 alpha=90.00 beta=90.00 gamma=90.00
With the nearest neighbours (Å) after each atom.
Sites, in units of the cell vectors:
Rb 0.0000 0.0000 0.0000  8 F 3.18, 4 N 3.42
Tl 0.5000 0.5000 0.5000  2 N 2.06
N 0.5000 0.5000 0.0000  2 Tl 2.06
F 0.0000 0.5000 0.5000  2 Tl 2.42
F 0.5000 0.0000 0.5000  2 Tl 2.42

---

# 7
Computed, not measured: a geometry-optimized Zn2CdBi structure at the PBE-GGA level of DFT.

For the relative energy among the computed polymorphs, the calculation gives 0.0 meV per atom. The calculation puts the density of states at the Fermi level at 0.3745 states/eV/atom. The value obtained for the formation energy is 142 meV/atom.

Unit cell a=9.6896 b=9.6896 c=9.6896 alpha=152.36 beta=152.36 gamma=39.48
With the nearest neighbours (Å) after each atom.
Sites, in units of the cell vectors:
Zn 0.0476 0.6250 0.9226  2 Cd 2.68, 2 Zn 2.81, 2 Bi 2.97
Zn 0.3750 0.2976 0.4226  2 Cd 2.68, 2 Zn 2.81, 2 Bi 2.97
Zn 0.7024 0.1250 0.0774  2 Cd 2.68, 2 Zn 2.81, 2 Bi 2.97
Zn 0.8750 0.9524 0.5774  2 Cd 2.68, 2 Zn 2.81, 2 Bi 2.97
Cd 0.0000 0.0000 0.0000  4 Zn 2.68
Cd 0.7500 0.2500 0.5000  4 Zn 2.68
Bi 0.2500 0.7500 0.5000  4 Zn 2.97, 4 Cd 3.27
Bi 0.5000 0.5000 0.0000  4 Zn 2.97, 4 Cd 3.27

---

# 8
Computed, not measured: a geometry-optimized Rb2CaTl12Cd3 structure at the PBE-GGA level of DFT.

The calculation puts the density of states at the Fermi level at 0.4359 states/eV/atom. The value obtained for the formation energy is 35 meV/atom.

Unit cell a=12.0987 b=12.0987 c=12.0987 alpha=39.86 beta=39.86 gamma=39.86
With the nearest neighbours (Å) after each atom.
Sites, in units of the cell vectors:
Rb 0.1536 0.1536 0.1536  6 Tl 4.00-4.04
Rb 0.8464 0.8464 0.8464  6 Tl 4.00-4.04
Ca 0.5000 0.5000 0.5000  6 Tl 3.18
Tl 0.0846 0.0846 0.6862  2 Cd 3.10, 4 Tl 3.18-3.29
Tl 0.0846 0.6862 0.0846  2 Cd 3.10, 4 Tl 3.18-3.29
Tl 0.1476 0.5642 0.5642  1 Cd 3.10, 4 Tl 3.18-3.44, 1 Ca 3.18
Tl 0.3138 0.9154 0.9154  2 Cd 3.10, 4 Tl 3.18-3.29
Tl 0.4358 0.4358 0.8524  1 Cd 3.10, 4 Tl 3.18-3.44, 1 Ca 3.18
Tl 0.4358 0.8524 0.4358  1 Cd 3.10, 4 Tl 3.18-3.44, 1 Ca 3.18
Tl 0.5642 0.1476 0.5642  1 Cd 3.10, 4 Tl 3.18-3.44, 1 Ca 3.18
Tl 0.5642 0.5642 0.1476  1 Cd 3.10, 4 Tl 3.18-3.44, 1 Ca 3.18
Tl 0.6862 0.0846 0.0846  2 Cd 3.10, 4 Tl 3.18-3.29
Tl 0.8524 0.4358 0.4358  1 Cd 3.10, 4 Tl 3.18-3.44, 1 Ca 3.18
Tl 0.9154 0.3138 0.9154  2 Cd 3.10, 4 Tl 3.18-3.29
Tl 0.9154 0.9154 0.3138  2 Cd 3.10, 4 Tl 3.18-3.29
Cd 0.0000 0.5000 0.5000  6 Tl 3.10
Cd 0.5000 0.0000 0.5000  6 Tl 3.10
Cd 0.5000 0.5000 0.0000  6 Tl 3.10

---

Repeat the eighth record exactly.
Computed, not measured: a geometry-optimized Rb2CaTl12Cd3 structure at the PBE-GGA level of DFT.

The calculation puts the density of states at the Fermi level at 0.4359 states/eV/atom. The value obtained for the formation energy is 35 meV/atom.

Unit cell a=12.0987 b=12.0987 c=12.0987 alpha=39.86 beta=39.86 gamma=39.86
With the nearest neighbours (Å) after each atom.
Sites, in units of the cell vectors:
Rb 0.1536 0.1536 0.1536  6 Tl 4.00-4.04
Rb 0.8464 0.8464 0.8464  6 Tl 4.00-4.04
Ca 0.5000 0.5000 0.5000  6 Tl 3.18
Tl 0.0846 0.0846 0.6862  2 Cd 3.10, 4 Tl 3.18-3.29
Tl 0.0846 0.6862 0.0846  2 Cd 3.10, 4 Tl 3.18-3.29
Tl 0.1476 0.5642 0.5642  1 Cd 3.10, 4 Tl 3.18-3.44, 1 Ca 3.18
Tl 0.3138 0.9154 0.9154  2 Cd 3.10, 4 Tl 3.18-3.29
Tl 0.4358 0.4358 0.8524  1 Cd 3.10, 4 Tl 3.18-3.44, 1 Ca 3.18
Tl 0.4358 0.8524 0.4358  1 Cd 3.10, 4 Tl 3.18-3.44, 1 Ca 3.18
Tl 0.5642 0.1476 0.5642  1 Cd 3.10, 4 Tl 3.18-3.44, 1 Ca 3.18
Tl 0.5642 0.5642 0.1476  1 Cd 3.10, 4 Tl 3.18-3.44, 1 Ca 3.18
Tl 0.6862 0.0846 0.0846  2 Cd 3.10, 4 Tl 3.18-3.29
Tl 0.8524 0.4358 0.4358  1 Cd 3.10, 4 Tl 3.18-3.44, 1 Ca 3.18
Tl 0.9154 0.3138 0.9154  2 Cd 3.10, 4 Tl 3.18-3.29
Tl 0.9154 0.9154 0.3138  2 Cd 3.10, 4 Tl 3.18-3.29
Cd 0.0000 0.5000 0.5000  6 Tl 3.10
Cd 0.5000 0.0000 0.5000  6 Tl 3.10
Cd 0.5000 0.5000 0.0000  6 Tl 3.10